# YMgOs (GGA-PBE, optimized geometry)
# V, Å³ per cell: 61.5
# Raw total energy, eV for the cell shown: -19.0
# Space group: P3m1 (156)
# Spin magnetization, μB per atom: 0.000
# DOS(E_F), states/eV/f.u.: 2.8
# Mass density, g/cm³: 8.20
data_YMgOs
_chemical_formula_sum 'Y1 Mg1 Os1'
_cell_length_a 4.568
_cell_length_b 4.568
_cell_length_c 3.401
_cell_angle_alpha 90.00
_cell_angle_beta 90.00
_cell_angle_gamma 120.00
_symmetry_space_group_name_H-M 'P 1'
_symmetry_Int_Tables_number 1
_symmetry_space_group_name_Hall 'P 1'
loop_
_atom_site_label
_atom_site_type_symbol
_atom_site_fract_x
_atom_site_fract_y
_atom_site_fract_z
Mg1 Mg 0.000 0.000 0.170
Os1 Os 0.333 0.667 0.163
Y1 Y 0.667 0.333 0.667

# YMgOs (GGA-PBE, optimized geometry)
# V, Å³ per cell: 70.2
# Raw total energy, eV for the cell shown: -18.6
# Space group: F-43m (216)
# Spin magnetization, μB per atom: 0.000
# DOS(E_F), states/eV/f.u.: 2.3
# Mass density, g/cm³: 7.18
data_YMgOs
_chemical_formula_sum 'Y1 Mg1 Os1'
_cell_length_a 4.630
_cell_length_b 4.630
_cell_length_c 4.630
_cell_angle_alpha 60.00
_cell_angle_beta 60.00
_cell_angle_gamma 60.00
_symmetry_space_group_name_H-M 'P 1'
_symmetry_Int_Tables_number 1
_symmetry_space_group_name_Hall 'P 1'
loop_
_atom_site_label
_atom_site_type_symbol
_atom_site_fract_x
_atom_site_fract_y
_atom_site_fract_z
Mg1 Mg 0.500 0.500 0.500
Os1 Os 0.750 0.750 0.750
Y1 Y 0.000 0.000 0.000

# Y2Mg2Os (GGA-PBE, optimized geometry)
# V, Å³ per cell: 120.1
# Raw total energy, eV for the cell shown: -28.2
# Space group: I4/mmm (139)
# Spin magnetization, μB per atom: 0.000
# DOS(E_F), states/eV/f.u.: 2.4
# Mass density, g/cm³: 5.76
data_Y2Mg2Os
_chemical_formula_sum 'Y2 Mg2 Os1'
_cell_length_a 3.441
_cell_length_b 3.441
_cell_length_c 10.434
_cell_angle_alpha 99.49
_cell_angle_beta 99.49
_cell_angle_gamma 90.00
_symmetry_space_group_name_H-M 'P 1'
_symmetry_Int_Tables_number 1
_symmetry_space_group_name_Hall 'P 1'
loop_
_atom_site_label
_atom_site_type_symbol
_atom_site_fract_x
_atom_site_fract_y
_atom_site_fract_z
Y1 Y 0.582 0.582 0.163
Y2 Y 0.418 0.418 0.837
Mg1 Mg 0.796 0.796 0.593
Mg2 Mg 0.204 0.204 0.407
Os1 Os 0.000 0.000 0.000

# YMgOs (GGA-PBE, optimized geometry)
# V, Å³ per cell: 62.3
# Raw total energy, eV for the cell shown: -19.2
# Space group: I4mm (107)
# Spin magnetization, μB per atom: 0.000
# DOS(E_F), states/eV/f.u.: 1.8
# Mass density, g/cm³: 8.09
data_YMgOs
_chemical_formula_sum 'Y1 Mg1 Os1'
_cell_length_a 5.811
_cell_length_b 5.810
_cell_length_c 3.435
_cell_angle_alpha 72.81
_cell_angle_beta 72.80
_cell_angle_gamma 34.39
_symmetry_space_group_name_H-M 'P 1'
_symmetry_Int_Tables_number 1
_symmetry_space_group_name_Hall 'P 1'
loop_
_atom_site_label
_atom_site_type_symbol
_atom_site_fract_x
_atom_site_fract_y
_atom_site_fract_z
Mg1 Mg 0.968 0.968 0.032
Os1 Os 0.342 0.342 0.658
Y1 Y 0.690 0.690 0.310

# Y3MgOs (GGA-PBE, optimized geometry)
# V, Å³ per cell: 158.0
# Raw total energy, eV for the cell shown: -32.2
# Relative energy among the computed polymorphs, eV per atom: 0.181
# Space group: Pm-3m (221)
# Spin magnetization, μB per atom: 0.000
# DOS(E_F), states/eV/f.u.: 2.6
# Mass density, g/cm³: 5.06
data_Y3MgOs
_chemical_formula_sum 'Y3 Mg1 Os1'
_cell_length_a 5.406
_cell_length_b 5.406
_cell_length_c 5.406
_cell_angle_alpha 90.00
_cell_angle_beta 90.00
_cell_angle_gamma 90.00
_symmetry_space_group_name_H-M 'P 1'
_symmetry_Int_Tables_number 1
_symmetry_space_group_name_Hall 'P 1'
loop_
_atom_site_label
_atom_site_type_symbol
_atom_site_fract_x
_atom_site_fract_y
_atom_site_fract_z
Y1 Y 0.000 0.500 0.000
Y2 Y 0.000 0.000 0.500
Y3 Y 0.500 0.000 0.000
Mg1 Mg 0.500 0.500 0.500
Os1 Os 0.000 0.000 0.000

# YMg3Os (GGA-PBE, optimized geometry)
# V, Å³ per cell: 123.0
# Raw total energy, eV for the cell shown: -20.8
# Relative energy among the computed polymorphs, eV per atom: 0.000
# Space group: Pm-3m (221)
# Spin magnetization, μB per atom: 0.000
# DOS(E_F), states/eV/f.u.: 4.2
# Mass density, g/cm³: 4.75
data_YMg3Os
_chemical_formula_sum 'Y1 Mg3 Os1'
_cell_length_a 4.973
_cell_length_b 4.973
_cell_length_c 4.973
_cell_angle_alpha 90.00
_cell_angle_beta 90.00
_cell_angle_gamma 90.00
_symmetry_space_group_name_H-M 'P 1'
_symmetry_Int_Tables_number 1
_symmetry_space_group_name_Hall 'P 1'
loop_
_atom_site_label
_atom_site_type_symbol
_atom_site_fract_x
_atom_site_fract_y
_atom_site_fract_z
Y1 Y 0.500 0.500 0.500
Mg1 Mg 0.000 0.500 0.000
Mg2 Mg 0.000 0.000 0.500
Mg3 Mg 0.500 0.000 0.000
Os1 Os 0.000 0.000 0.000

# Y6MgOs2 (GGA-PBE, optimized geometry)
# V, Å³ per cell: 481.8
# Raw total energy, eV for the cell shown: -129.1
# Space group: Immm (71)
# Spin magnetization, μB per atom: 0.000
# DOS(E_F), states/eV/f.u.: 9.6
# Mass density, g/cm³: 6.47
data_Y6MgOs2
_chemical_formula_sum 'Y12 Mg2 Os4'
_cell_length_a 9.525
_cell_length_b 8.572
_cell_length_c 8.572
_cell_angle_alpha 68.08
_cell_angle_beta 56.25
_cell_angle_gamma 56.25
_symmetry_space_group_name_H-M 'P 1'
_symmetry_Int_Tables_number 1
_symmetry_space_group_name_Hall 'P 1'
loop_
_atom_site_label
_atom_site_type_symbol
_atom_site_fract_x
_atom_site_fract_y
_atom_site_fract_z
Y1 Y 0.281 0.184 0.816
Y2 Y 0.719 0.816 0.184
Y3 Y 0.719 0.184 0.816
Y4 Y 0.281 0.816 0.184
Y5 Y 0.757 0.449 0.038
Y6 Y 0.243 0.551 0.962
Y7 Y 0.757 0.038 0.449
Y8 Y 0.243 0.962 0.551
Y9 Y 0.988 0.329 0.329
Y10 Y 0.012 0.671 0.671
Y11 Y 0.354 0.329 0.329
Y12 Y 0.646 0.671 0.671
Mg1 Mg 0.500 0.500 0.500
Mg2 Mg 0.000 0.000 0.000
Os1 Os 0.381 0.119 0.119
Os2 Os 0.619 0.881 0.881
Os3 Os 0.000 0.317 0.683
Os4 Os 0.000 0.683 0.317

# YMg3Os (GGA-PBE, optimized geometry)
# V, Å³ per cell: 174.3
# Raw total energy, eV for the cell shown: -11.5
# Relative energy among the computed polymorphs, eV per atom: 1.859
# Space group: Pm-3m (221)
# Spin magnetization, μB per atom: 0.505
# DOS(E_F), states/eV/f.u.: 5.9
# Mass density, g/cm³: 3.35
data_YMg3Os
_chemical_formula_sum 'Y1 Mg3 Os1'
_cell_length_a 5.586
_cell_length_b 5.586
_cell_length_c 5.586
_cell_angle_alpha 90.00
_cell_angle_beta 90.00
_cell_angle_gamma 90.00
_symmetry_space_group_name_H-M 'P 1'
_symmetry_Int_Tables_number 1
_symmetry_space_group_name_Hall 'P 1'
loop_
_atom_site_label
_atom_site_type_symbol
_atom_site_fract_x
_atom_site_fract_y
_atom_site_fract_z
Y1 Y 0.000 0.000 0.000
Mg1 Mg 0.000 0.500 0.000
Mg2 Mg 0.000 0.000 0.500
Mg3 Mg 0.500 0.000 0.000
Os1 Os 0.500 0.500 0.500